1.
ZrBe2: relaxed, PBE-GGA.

Values from the calculation:
crystal system	cubic
symmetry	No. 225
spin magnetization	0.00	μB per formula unit
energy	-4.519	eV/atom

Unit cell a=4.131 b=4.131 c=4.131 alpha=60.00 beta=60.00 gamma=60.00
Fractional positions:
Zr: 0.000 0.000 0.000
Be: 0.750 0.750 0.750
Be: 0.250 0.250 0.250

***

2.
Zr3Be4: relaxed, PBE-GGA.

Values from the calculation:
crystal system	tetragonal
symmetry	No. 139
spin magnetization	0.00	μB per formula unit
E above lowest polymorph	0	meV per atom

Unit cell a=12.610 b=12.610 c=12.610 alpha=166.94 beta=166.94 gamma=18.50
Fractional positions:
Be: 0.883 0.883 0.000
Be: 0.578 0.578 0.000
Zr: 0.000 0.000 0.000
Be: 0.422 0.422 0.000
Be: 0.117 0.117 0.000
Zr: 0.696 0.696 0.000
Zr: 0.304 0.304 0.000

***

3.
Zr2Be: relaxed, PBE-GGA.

Values from the calculation:
crystal system	tetragonal
symmetry	No. 139
spin magnetization	0.00	μB per formula unit
energy	-6.946	eV/atom

Unit cell a=3.174 b=3.174 c=5.972 alpha=105.44 beta=105.44 gamma=89.96
Fractional positions:
Be: 0.500 0.500 0.000
Zr: 0.851 0.851 0.703
Zr: 0.149 0.149 0.297

***

4.
Zr4Be5: relaxed, PBE-GGA.

Values from the calculation:
crystal system	hexagonal
symmetry	No. 193
spin magnetization	0.00	μB per formula unit
E above lowest polymorph	0	meV per atom

Unit cell a=7.704 b=7.704 c=5.397 alpha=90.00 beta=90.00 gamma=120.00
Fractional positions:
Be: 0.000 0.685 0.250
Be: 0.333 0.667 0.500
Be: 0.333 0.667 0.000
Zr: 0.364 0.000 0.250
Be: 0.000 0.315 0.750
Be: 0.315 0.315 0.250
Be: 0.315 0.000 0.750
Zr: 0.000 0.000 0.500
Be: 0.685 0.000 0.250
Zr: 0.636 0.636 0.250
Be: 0.685 0.685 0.750
Zr: 0.364 0.364 0.750
Zr: 0.000 0.636 0.750
Be: 0.667 0.333 0.000
Be: 0.667 0.333 0.500
Zr: 0.636 0.000 0.750
Zr: 0.000 0.000 0.000
Zr: 0.000 0.364 0.250

***

5.
Zr8Be: relaxed, PBE-GGA.

Values from the calculation:
crystal system	tetragonal
symmetry	No. 139
spin magnetization	0.00	μB per formula unit
energy	-7.937	eV/atom

Unit cell a=7.100 b=7.100 c=7.100 alpha=95.19 beta=95.19 gamma=144.99
Fractional positions:
Zr: 0.340 0.340 0.680
Zr: 0.660 0.660 0.320
Zr: 0.670 0.000 0.670
Zr: 0.000 0.330 0.330
Be: 0.000 0.000 0.000
Zr: 0.330 0.000 0.330
Zr: 0.000 0.670 0.670
Zr: 0.340 0.660 0.000
Zr: 0.660 0.340 0.000

***

6.
Zr2Be: relaxed, PBE-GGA.

Values from the calculation:
crystal system	orthorhombic
symmetry	No. 71
spin magnetization	0.00	μB per formula unit
energy	-6.887	eV/atom

Unit cell a=7.019 b=7.019 c=7.019 alpha=153.25 beta=133.29 gamma=54.64
Fractional positions:
Zr: 0.202 0.702 0.500
Be: 0.365 0.365 0.000
Zr: 0.249 0.000 0.249
Zr: 0.751 0.000 0.751
Be: 0.635 0.635 0.000
Zr: 0.798 0.298 0.500

***

7.
Zr2Be: relaxed, PBE-GGA.

Values from the calculation:
crystal system	hexagonal
symmetry	No. 194
spin magnetization	0.74	μB per formula unit
energy	-6.892	eV/atom

Unit cell a=4.652 b=4.652 c=5.915 alpha=90.00 beta=90.00 gamma=120.00
Site moments in Bohr magnetons follow the coordinates.
Fractional positions:
Zr: 0.000 0.000 0.000  0.29
Zr: 0.667 0.333 0.250  0.20
Be: 0.333 0.667 0.250  0.01
Zr: 0.000 0.000 0.500  0.29
Be: 0.667 0.333 0.750  0.01
Zr: 0.333 0.667 0.750  0.20

***

8.
Zr4Be: relaxed, PBE-GGA.

Values from the calculation:
crystal system	cubic
symmetry	No. 221
spin magnetization	1.09	μB per formula unit
E above lowest polymorph	0	meV per atom

Unit cell a=4.795 b=4.795 c=4.795 alpha=90.00 beta=90.00 gamma=90.00
Site moments in Bohr magnetons follow the coordinates.
Fractional positions:
Zr: 0.500 0.500 0.000  0.12
Be: 0.500 0.500 0.500  0.03
Zr: 0.000 0.500 0.500  0.12
Zr: 0.500 0.000 0.500  0.12
Zr: 0.000 0.000 0.000  0.24

***

9.
Zr4Be: relaxed, PBE-GGA.

Values from the calculation:
crystal system	cubic
symmetry	No. 229
spin magnetization	0.00	μB per formula unit
E above lowest polymorph	153	meV per atom

Unit cell a=5.242 b=5.242 c=5.242 alpha=109.47 beta=109.47 gamma=109.47
Fractional positions:
Zr: 0.000 0.500 0.000
Zr: 0.500 0.000 0.000
Be: 0.000 0.000 0.000
Zr: 0.500 0.500 0.500
Zr: 0.000 0.000 0.500

***

10.
ZrBe2: relaxed, PBE-GGA.

Values from the calculation:
crystal system	orthorhombic
symmetry	No. 62
spin magnetization	0.00	μB per formula unit
energy	-5.373	eV/atom

Unit cell a=4.102 b=5.248 c=7.483 alpha=90.00 beta=90.00 gamma=90.00
Fractional positions:
Zr: 0.750 0.786 0.920
Be: 0.250 0.008 0.722
Be: 0.750 0.992 0.278
Be: 0.250 0.508 0.778
Zr: 0.250 0.214 0.080
Be: 0.250 0.692 0.091
Zr: 0.250 0.714 0.420
Be: 0.750 0.808 0.591
Be: 0.250 0.192 0.409
Be: 0.750 0.492 0.222
Be: 0.750 0.308 0.909
Zr: 0.750 0.286 0.580

***

11.
ZrBe5: relaxed, PBE-GGA.

Values from the calculation:
crystal system	monoclinic
symmetry	No. 8
spin magnetization	0.31	μB per formula unit
E above lowest polymorph	419	meV per atom

Unit cell a=5.221 b=5.221 c=5.532 alpha=76.86 beta=76.86 gamma=27.05
Site moments in Bohr magnetons follow the coordinates.
Fractional positions:
Be: 0.007 0.007 0.078  0.00
Zr: 0.295 0.295 0.878  0.32
Be: 0.642 0.642 0.296  0.00
Be: 0.332 0.332 0.348  0.00
Be: 0.976 0.976 0.503  0.00
Be: 0.582 0.582 0.731  0.00

***

12.
ZrBe5: relaxed, PBE-GGA.

Values from the calculation:
crystal system	tetragonal
symmetry	No. 123
spin magnetization	0.00	μB per formula unit
E above lowest polymorph	335	meV per atom

Unit cell a=2.739 b=2.739 c=8.536 alpha=90.00 beta=90.00 gamma=90.00
Fractional positions:
Be: 0.000 0.000 0.727
Be: 0.000 0.000 0.273
Zr: 0.500 0.500 0.500
Be: 0.500 0.500 0.855
Be: 0.500 0.500 0.145
Be: 0.000 0.000 0.000

***

13.
Zr2Be: relaxed, PBE-GGA.

Values from the calculation:
crystal system	orthorhombic
symmetry	No. 63
spin magnetization	0.00	μB per formula unit
energy	-6.925	eV/atom

Unit cell a=7.553 b=7.553 c=4.698 alpha=90.00 beta=90.00 gamma=155.50
Fractional positions:
Be: 0.933 0.067 0.750
Zr: 0.577 0.423 0.750
Zr: 0.423 0.577 0.250
Zr: 0.283 0.717 0.750
Be: 0.067 0.933 0.250
Zr: 0.717 0.283 0.250

***

14.
ZrBe2: relaxed, PBE-GGA.

Values from the calculation:
crystal system	orthorhombic
symmetry	No. 71
spin magnetization	0.00	μB per formula unit
energy	-5.318	eV/atom

Unit cell a=5.318 b=5.318 c=5.318 alpha=150.61 beta=147.39 gamma=44.47
Fractional positions:
Be: 0.301 0.301 0.000
Zr: 0.000 0.000 0.000
Be: 0.699 0.699 0.000

***

15.
ZrBe2: relaxed, PBE-GGA.

Values from the calculation:
crystal system	orthorhombic
symmetry	No. 63
spin magnetization	0.00	μB per formula unit
energy	-4.786	eV/atom

Unit cell a=7.184 b=7.184 c=4.755 alpha=90.00 beta=90.00 gamma=159.10
Fractional positions:
Be: 0.398 0.602 0.250
Be: 0.031 0.969 0.250
Zr: 0.709 0.291 0.250
Be: 0.602 0.398 0.750
Zr: 0.291 0.709 0.750
Be: 0.969 0.031 0.750

***

16.
Zr2Be: relaxed, PBE-GGA.

Values from the calculation:
crystal system	tetragonal
symmetry	No. 141
spin magnetization	0.00	μB per formula unit
energy	-6.837	eV/atom

Unit cell a=12.831 b=12.831 c=12.831 alpha=166.61 beta=166.61 gamma=18.97
Fractional positions:
Be: 0.750 0.250 0.500
Be: 0.000 0.000 0.000
Zr: 0.567 0.567 0.000
Zr: 0.433 0.433 0.000
Zr: 0.317 0.817 0.500
Zr: 0.183 0.683 0.500

***

17.
ZrBe2: relaxed, PBE-GGA.

Values from the calculation:
crystal system	cubic
symmetry	No. 205
spin magnetization	0.00	μB per formula unit
energy	-4.356	eV/atom

Unit cell a=5.784 b=5.784 c=5.784 alpha=90.00 beta=90.00 gamma=90.00
Fractional positions:
Zr: 0.000 0.000 0.000
Zr: 0.500 0.000 0.500
Be: 0.097 0.903 0.597
Zr: 0.000 0.500 0.500
Be: 0.097 0.597 0.097
Be: 0.903 0.403 0.903
Be: 0.403 0.403 0.597
Be: 0.403 0.097 0.097
Be: 0.903 0.097 0.403
Be: 0.597 0.903 0.903
Zr: 0.500 0.500 0.000
Be: 0.597 0.597 0.403

***

18.
ZrBe5: relaxed, PBE-GGA.

Values from the calculation:
crystal system	orthorhombic
symmetry	No. 38
spin magnetization	0.00	μB per formula unit
E above lowest polymorph	388	meV per atom

Unit cell a=7.361 b=7.361 c=3.557 alpha=90.00 beta=90.00 gamma=160.02
Fractional positions:
Zr: 0.111 0.889 0.500
Be: 0.429 0.571 0.500
Be: 0.797 0.203 0.500
Be: 0.330 0.670 0.000
Be: 0.956 0.044 0.000
Be: 0.710 0.290 0.000

***

19.
Zr2Be: relaxed, PBE-GGA.

Values from the calculation:
crystal system	tetragonal
symmetry	No. 123
spin magnetization	0.00	μB per formula unit
energy	-6.695	eV/atom

Unit cell a=4.384 b=4.384 c=3.073 alpha=90.00 beta=90.00 gamma=90.00
Fractional positions:
Zr: 0.000 0.500 0.500
Be: 0.000 0.000 0.000
Zr: 0.500 0.000 0.500

***

20.
Zr2Be: relaxed, PBE-GGA.

Values from the calculation:
crystal system	hexagonal
symmetry	No. 194
spin magnetization	0.00	μB per formula unit
energy	-6.113	eV/atom

Unit cell a=5.609 b=5.609 c=9.044 alpha=90.00 beta=90.00 gamma=120.00
Fractional positions:
Zr: 0.000 0.000 0.500
Zr: 0.656 0.828 0.750
Zr: 0.828 0.656 0.250
Be: 0.333 0.667 0.441
Zr: 0.172 0.344 0.750
Be: 0.667 0.333 0.941
Zr: 0.344 0.172 0.250
Be: 0.667 0.333 0.559
Be: 0.333 0.667 0.059
Zr: 0.000 0.000 0.000
Zr: 0.172 0.828 0.750
Zr: 0.828 0.172 0.250